No. 1
First-principles (meta-GGA SCAN) data for a PBEsol-optimized structure of K2CuPt, as listed in the Alexandria database.

```
K2CuPt
1.0
-0.903 1.565 2.491
-3.066 -2.331 0.352
5.108 -5.880 5.546
Cu K Pt
1 2 1
Direct
0.500 0.500 0.648 Cu
0.000 0.000 0.907 K
0.500 0.500 0.346 K
0.000 0.000 0.598 Pt
```

Summary:
E_form   0.09 eV/atom
Polymorph energy (0 for the lowest one)   36 meV per atom


No. 2
First-principles (meta-GGA SCAN) data for a PBEsol-optimized structure of BaSi2W, as listed in the Alexandria database.

```
BaSi2W
1.0
4.331 0.000 0.000
0.000 4.331 0.000
-2.166 -2.166 4.169
Ba Si W
1 2 1
Direct
0.250 0.750 0.500 Ba
0.000 0.000 0.000 Si
0.750 0.250 0.500 Si
0.500 0.500 0.000 W
```

Summary:
Polymorph energy (0 for the lowest one)   1146 meV per atom
Raw formation energy   1392 meV per atom


No. 3
First-principles (meta-GGA SCAN) data for a PBEsol-optimized structure of LiY2Fe, as listed in the Alexandria database.

```
LiY2Fe
1.0
4.140 0.000 0.000
0.000 4.140 0.000
-2.070 -2.070 4.884
Fe Li Y
1 1 2
Direct
0.500 0.500 0.000 Fe
0.250 0.750 0.500 Li
0.000 0.000 0.000 Y
0.750 0.250 0.500 Y
```

Summary:
E_form   0.32 eV/atom


No. 4
First-principles (meta-GGA SCAN) data for a PBEsol-optimized structure of SmAl2Ir, as listed in the Alexandria database.

```
SmAl2Ir
1.0
-2.301 3.478 0.158
-2.169 -4.078 3.088
3.778 2.245 5.618
Ir Al Sm
2 4 2
Direct
0.215 0.429 0.750 Ir
0.785 0.571 0.250 Ir
0.343 0.685 0.444 Al
0.657 0.315 0.556 Al
0.343 0.685 0.056 Al
0.657 0.315 0.944 Al
0.064 0.129 0.250 Sm
0.936 0.871 0.750 Sm
```

Summary:
E_form   -0.98 eV/atom


No. 5
First-principles (meta-GGA SCAN) data for a PBEsol-optimized structure of ZnTcRh2, as listed in the Alexandria database.

```
ZnTcRh2
1.0
-0.255 -2.782 -0.466
2.112 0.442 -3.790
2.875 0.481 4.167
Rh Tc Zn
2 1 1
Direct
0.984 0.984 0.968 Rh
0.754 0.254 0.509 Rh
0.510 0.510 0.020 Tc
0.252 0.752 0.504 Zn
```

Summary:
E_form   0.00 eV/atom


No. 6
First-principles (meta-GGA SCAN) data for a PBEsol-optimized structure of Zr2Sb, as listed in the Alexandria database.

```
Zr2Sb
1.0
-3.080 -2.147 1.225
3.221 -0.696 6.880
-4.663 5.860 -1.453
Sb Zr
3 6
Direct
0.000 0.667 0.333 Sb
0.000 0.333 0.667 Sb
0.500 0.000 0.000 Sb
0.000 0.742 0.742 Zr
0.000 0.000 0.258 Zr
0.000 0.258 0.000 Zr
0.500 0.406 0.406 Zr
0.500 0.000 0.594 Zr
0.500 0.594 0.000 Zr
```

Summary:
Raw formation energy   -702 meV per atom


No. 7
First-principles (meta-GGA SCAN) data for a PBEsol-optimized structure of CuReRu2, as listed in the Alexandria database.

```
CuReRu2
1.0
2.824 0.000 0.000
0.000 4.318 0.000
-1.412 -2.159 4.324
Cu Re Ru
1 1 2
Direct
0.500 0.000 0.000 Cu
0.000 0.500 0.000 Re
0.764 0.764 0.527 Ru
0.236 0.236 0.473 Ru
```

Summary:
E_form   0.36 eV/atom


No. 8
First-principles (meta-GGA SCAN) data for a PBEsol-optimized structure of Li2InRh, as listed in the Alexandria database.

```
Li2InRh
1.0
-1.807 2.642 -2.065
-3.244 -0.785 1.836
0.931 2.888 2.881
In Rh Li
1 1 2
Direct
0.000 0.000 0.500 In
0.500 0.500 0.500 Rh
0.000 0.500 0.000 Li
0.500 0.000 0.000 Li
```

Summary:
E_form   -0.36 eV/atom


No. 9
First-principles (meta-GGA SCAN) data for a PBEsol-optimized structure of Sc2AuCl, as listed in the Alexandria database.

```
Sc2AuCl
1.0
-2.849 2.271 1.019
-1.569 -2.840 1.945
2.820 1.520 4.495
Sc Au Cl
2 1 1
Direct
0.000 0.000 0.875 Sc
0.500 0.500 0.375 Sc
0.000 0.000 0.375 Au
0.500 0.500 0.875 Cl
```

Summary:
Polymorph energy (0 for the lowest one)   0 meV per atom
Raw formation energy   -1164 meV per atom


No. 10
First-principles (meta-GGA SCAN) data for a PBEsol-optimized structure of TaSbRu2, as listed in the Alexandria database.

```
TaSbRu2
1.0
4.157 0.000 0.000
-2.078 4.193 -0.002
0.000 -2.058 3.611
Ru Sb Ta
2 1 1
Direct
0.750 0.500 0.250 Ru
0.250 0.500 0.750 Ru
0.000 0.000 0.000 Sb
0.500 0.000 0.500 Ta
```

Summary:
Raw formation energy   -248 meV per atom


No. 11
First-principles (meta-GGA SCAN) data for a PBEsol-optimized structure of MgTaBe2Cu, as listed in the Alexandria database.

```
MgTaBe2Cu
1.0
-2.567 1.335 -2.920
-0.785 -3.886 -1.086
-3.132 -0.121 2.698
Be Mg Cu Ta
2 1 1 1
Direct
0.000 0.500 0.000 Be
0.500 0.000 0.000 Be
0.000 0.000 0.000 Mg
0.000 0.000 0.500 Cu
0.500 0.500 0.500 Ta
```

Summary:
E_form   1.29 eV/atom


No. 12
First-principles (meta-GGA SCAN) data for a PBEsol-optimized structure of MgCd2Ni, as listed in the Alexandria database.

```
MgCd2Ni
1.0
-2.849 -2.444 -0.205
2.485 -3.028 1.564
-1.002 3.788 3.239
Ni Mg Cd
1 1 2
Direct
0.250 0.750 0.500 Ni
0.512 0.512 0.023 Mg
0.989 0.989 0.978 Cd
0.749 0.249 0.498 Cd
```

Summary:
E_form   -0.02 eV/atom


No. 13
First-principles (meta-GGA SCAN) data for a PBEsol-optimized structure of AlTc2Hg, as listed in the Alexandria database.

```
AlTc2Hg
1.0
2.899 0.000 0.000
-1.449 4.554 0.012
0.000 -1.048 4.708
Al Hg Tc
1 1 2
Direct
0.000 0.000 0.500 Al
0.500 0.000 0.000 Hg
0.743 0.486 0.721 Tc
0.257 0.514 0.279 Tc
```

Summary:
E_form   0.22 eV/atom
Polymorph energy (0 for the lowest one)   0 meV per atom


No. 14
First-principles (meta-GGA SCAN) data for a PBEsol-optimized structure of BeTlZn, as listed in the Alexandria database.

```
BeTlZn
1.0
4.279 0.000 0.000
2.139 3.706 0.000
2.139 1.235 3.494
Be Tl Zn
1 1 1
Direct
0.500 0.500 0.500 Be
0.750 0.750 0.750 Tl
0.000 0.000 0.000 Zn
```

Summary:
E_form   0.49 eV/atom
Polymorph energy (0 for the lowest one)   36 meV per atom


No. 15
First-principles (meta-GGA SCAN) data for a PBEsol-optimized structure of MgMn2Cu, as listed in the Alexandria database.

```
MgMn2Cu
1.0
-2.291 -0.511 1.529
2.394 -1.175 3.196
-0.074 5.040 -0.994
Cu Mg Mn
1 1 2
Direct
0.000 0.500 0.000 Cu
0.500 0.000 0.000 Mg
0.264 0.261 0.527 Mn
0.736 0.739 0.473 Mn
```

Summary:
E_form   0.14 eV/atom


No. 16
First-principles (meta-GGA SCAN) data for a PBEsol-optimized structure of MgInCl2, as listed in the Alexandria database.

```
MgInCl2
1.0
3.339 0.000 0.000
0.000 4.397 0.000
-1.670 -2.199 6.753
Cl In Mg
2 1 1
Direct
0.916 0.916 0.833 Cl
0.730 0.230 0.460 Cl
0.571 0.571 0.143 In
0.283 0.783 0.565 Mg
```

Summary:
Polymorph energy (0 for the lowest one)   339 meV per atom
Raw formation energy   -1042 meV per atom


No. 17
First-principles (meta-GGA SCAN) data for a PBEsol-optimized structure of Li6VF8, as listed in the Alexandria database.

```
Li6VF8
1.0
-2.006 -0.329 -5.422
3.701 -0.214 -4.449
0.614 -4.901 -3.022
Li V F
6 1 8
Direct
0.000 0.500 0.000 Li
0.000 0.000 0.500 Li
0.500 0.500 0.000 Li
0.500 0.000 0.500 Li
0.500 0.000 0.000 Li
0.000 0.500 0.500 Li
0.000 0.000 0.000 V
0.246 0.754 0.754 F
0.250 0.250 0.250 F
0.750 0.750 0.750 F
0.754 0.246 0.246 F
0.754 0.754 0.246 F
0.754 0.246 0.754 F
0.246 0.754 0.246 F
0.246 0.246 0.754 F
```

Summary:
Raw formation energy   -3070 meV per atom


No. 18
First-principles (meta-GGA SCAN) data for a PBEsol-optimized structure of MnAsNF2, as listed in the Alexandria database.

```
MnAsNF2
1.0
-2.656 -1.174 2.700
1.975 -3.589 0.381
2.331 1.600 2.988
N As Mn F
1 1 1 2
Direct
0.500 0.000 0.000 N
0.000 0.000 0.000 As
0.500 0.500 0.500 Mn
0.000 0.000 0.500 F
0.000 0.500 0.000 F
```

Summary:
Raw formation energy   -438 meV per atom


No. 19
First-principles (meta-GGA SCAN) data for a PBEsol-optimized structure of ScTlAg2, as listed in the Alexandria database.

```
ScTlAg2
1.0
-0.355 3.547 -0.148
-1.802 -0.309 -3.064
-5.356 -0.404 3.191
Sc Tl Ag
1 1 2
Direct
0.500 0.500 0.000 Sc
0.500 0.500 0.500 Tl
0.000 0.000 0.772 Ag
0.000 0.000 0.228 Ag
```

Summary:
E_form   -0.18 eV/atom


No. 20
First-principles (meta-GGA SCAN) data for a PBEsol-optimized structure of BaAgPCl2, as listed in the Alexandria database.

```
BaAgPCl2
1.0
5.786 0.000 0.000
0.000 5.786 0.000
0.000 0.000 6.350
P Ba Ag Cl
1 1 1 2
Direct
0.000 0.000 0.500 P
0.000 0.000 0.000 Ba
0.500 0.500 0.500 Ag
0.000 0.500 0.000 Cl
0.500 0.000 0.000 Cl
```

Summary:
Raw formation energy   -319 meV per atom